Entry 1:
TbThBi2N (GGA-PBE, relaxed); N(E_F) = 3.1 states/eV/f.u.; E_form (uncorrected) = -0.90 eV per atom; crystal system = tetragonal; space-group type = P4/nmm (129)
1.0
-3.7406 -0.6666 -1.8509
0.3420 -4.1362 0.7986
-6.9349 1.9939 13.2968
Tb Th Bi N
2 2 4 2
direct
0.5000 0.0000 0.0671
0.0000 0.5000 0.9329
0.5000 0.0000 0.5717
0.0000 0.5000 0.4283
0.0000 0.5000 0.7228
0.0000 0.5000 0.1462
0.5000 0.0000 0.8538
0.5000 0.0000 0.2772
0.0000 0.0000 0.5000
0.5000 0.5000 0.5000

=====

Entry 2:
TbUBiN2 (GGA-PBE, relaxed); N(E_F) = 3.1 states/eV/f.u.; E_form (uncorrected) = -1.27 eV per atom; crystal system = tetragonal; space-group type = I4mm (107)
1.0
-0.4852 -2.0545 3.3223
-0.4863 -3.2900 -2.1056
6.7782 1.5845 -0.3620
Tb U Bi N
1 1 1 2
direct
0.8383 0.8383 0.6766
0.1710 0.1710 0.3420
0.5076 0.5076 0.0152
0.7415 0.2415 0.4831
0.2415 0.7415 0.4831